[1]
The following is a PBE calculation of a relaxed Pm7Ho12Zr crystal, from the Alexandria database.

a b c (Å): 8.673 8.673 8.673
angles (deg): 93.06 93.06 93.06
Fractional coordinates of all 20 atoms:
Pm 0.365 0.046 0.121
Pm 0.954 0.879 0.635
Pm 0.121 0.365 0.046
Pm 0.879 0.635 0.954
Pm 0.635 0.954 0.879
Pm 0.500 0.500 0.500
Pm 0.046 0.121 0.365
Ho 0.714 0.862 0.259
Ho 0.837 0.543 0.446
Ho 0.163 0.457 0.554
Ho 0.457 0.554 0.163
Ho 0.138 0.741 0.286
Ho 0.862 0.259 0.714
Ho 0.741 0.286 0.138
Ho 0.554 0.163 0.457
Ho 0.259 0.714 0.862
Ho 0.286 0.138 0.741
Ho 0.446 0.837 0.543
Ho 0.543 0.446 0.837
Zr 0.000 0.000 0.000

Values from the calculation:
Energy of formation   5.4 eV/f.u.
VASP energy   -4.5673 eV per atom
Theoretical density   7.888 g/cm3
D(E_F)   31.86 states/eV per cell

---

[2]
The following is a PBE calculation of a relaxed TiTl2Cl crystal, from the Alexandria database.

a b c (Å): 5.305 5.305 5.305
angles (deg): 60.00 60.00 60.00
Site moments in Bohr magnetons follow the coordinates.
Fractional coordinates of all 4 atoms:
Tl 0.250 0.250 0.250  0.01
Tl 0.750 0.750 0.750  0.01
Cl 0.000 0.000 0.000  0.02
Ti 0.500 0.500 0.500  1.43

Values from the calculation:
Energy above the lowest structure with this stoichiometry   347 meV/atom
VASP energy   -3.2972 eV per atom
Theoretical density   7.740 g/cm3
D(E_F)   4.90 states/eV per cell
Raw formation energy   321 meV per atom

---

[3]
The following is a PBE calculation of a relaxed Ac3GaO crystal, from the Alexandria database.

a b c (Å): 5.246 5.246 5.246
angles (deg): 90.00 90.00 90.00
Fractional coordinates of all 5 atoms:
Ac 0.500 0.000 0.000
Ac 0.000 0.500 0.000
Ac 0.000 0.000 0.500
O 0.000 0.000 0.000
Ga 0.500 0.500 0.500

Values from the calculation:
Energy above the lowest structure with this stoichiometry   0 meV/atom
VASP energy   -5.2430 eV per atom
Theoretical density   8.820 g/cm3
D(E_F)   3.02 states/eV per cell
Raw formation energy   -1181 meV per atom

---

[4]
The following is a PBE calculation of a relaxed Y4MnS7 crystal, from the Alexandria database.

a b c (Å): 6.566 6.566 11.486
angles (deg): 75.34 75.34 33.78
Site moments in Bohr magnetons follow the coordinates.
Fractional coordinates of all 12 atoms:
S 0.272 0.272 0.353  0.05
S 0.747 0.747 0.639  0.02
S 0.335 0.335 0.053  0.00
S 0.657 0.657 0.949  0.00
S 0.033 0.033 0.225  0.02
S 0.961 0.961 0.784  0.00
S 0.504 0.504 0.485  0.05
Y 0.996 0.996 0.007  0.01
Y 0.116 0.116 0.566  0.04
Y 0.689 0.689 0.212  0.04
Y 0.304 0.304 0.805  0.01
Mn 0.886 0.886 0.422  4.29

Values from the calculation:
VASP energy   -7.1240 eV per atom
Theoretical density   3.970 g/cm3
D(E_F)   0.10 states/eV per cell
Raw formation energy   -1798 meV per atom

---

> Which of these has the highest theoretical density?

Ac3GaO